Entry 1:
Here is a geometry-optimized Zr2FeO2 structure from Alexandria. Energies are from PBE+U.

Theoretical density   5845 kg/m3
Spin magnetization   4.34 μB/cell
Excess energy over the best structure of this formula in the dataset   0.00 eV/f.u.

Structure (CIF):
```
data_Zr2FeO2
_cell_length_a 3.6807
_cell_length_b 3.6807
_cell_length_c 11.3360
_cell_angle_alpha 90.00
_cell_angle_beta 90.00
_cell_angle_gamma 90.00
_space_group_name_H-M_alt 'I 4/m m m'
_space_group_IT_number 139
_space_group_name_Hall '-I 4 2'
loop_
_atom_site_label
_atom_site_type_symbol
_atom_site_fract_x
_atom_site_fract_y
_atom_site_fract_z
Zr1 Zr 0.0000 0.0000 0.1473
Fe1 Fe 0.0000 0.0000 0.5000
O1 O 0.0000 0.5000 0.2500
```

=====

Entry 2:
Here is a geometry-optimized ZrFeO2 structure from Alexandria. Energies are from PBE+U.

Theoretical density   5038 kg/m3
Spin magnetization   9.33 μB/cell
Excess energy over the best structure of this formula in the dataset   0.47 eV/f.u.

Structure (CIF):
```
data_ZrFeO2
_cell_length_a 4.8755
_cell_length_b 4.8755
_cell_length_c 9.9320
_cell_angle_alpha 90.00
_cell_angle_beta 90.00
_cell_angle_gamma 90.00
_space_group_name_H-M_alt 'I -4 2 d'
_space_group_IT_number 122
_space_group_name_Hall 'I -4 2bw'
loop_
_atom_site_label
_atom_site_type_symbol
_atom_site_fract_x
_atom_site_fract_y
_atom_site_fract_z
Zr1 Zr 0.0000 0.0000 0.0000
Fe1 Fe 0.0000 0.0000 0.5000
O1 O 0.2421 0.2500 0.1250
```

=====

Entry 3:
Here is a geometry-optimized Zr2FeO structure from Alexandria. Energies are from PBE+U.

Theoretical density   6189 kg/m3
Spin magnetization   9.23 μB/cell
VASP energy   -7.600 eV per atom

Structure (CIF):
```
data_Zr2FeO
_cell_length_a 3.0031
_cell_length_b 3.0031
_cell_length_c 26.2089
_cell_angle_alpha 90.00
_cell_angle_beta 90.00
_cell_angle_gamma 120.00
_space_group_name_H-M_alt 'R -3 m'
_space_group_IT_number 166
_space_group_name_Hall '-R 3 2"'
loop_
_atom_site_label
_atom_site_type_symbol
_atom_site_fract_x
_atom_site_fract_y
_atom_site_fract_z
Zr1 Zr 0.0000 0.0000 0.1068
Fe1 Fe 0.0000 0.0000 0.0000
O1 O 0.0000 0.0000 0.5000
```

=====

Entry 4:
Here is a geometry-optimized Zr3Fe5O12 structure from Alexandria. Energies are from PBE+U.

Theoretical density   5441 kg/m3
Spin magnetization   112.00 μB/cell
VASP energy   -7.631 eV per atom

Structure (CIF):
```
data_Zr3Fe5O12
_cell_length_a 12.2066
_cell_length_b 12.2066
_cell_length_c 12.2066
_cell_angle_alpha 90.00
_cell_angle_beta 90.00
_cell_angle_gamma 90.00
_space_group_name_H-M_alt 'I a -3 d'
_space_group_IT_number 230
_space_group_name_Hall '-I 4bd 2c 3'
loop_
_atom_site_label
_atom_site_type_symbol
_atom_site_fract_x
_atom_site_fract_y
_atom_site_fract_z
Zr1 Zr 0.0000 0.2500 0.1250
Fe1 Fe 0.0000 0.0000 0.0000
Fe2 Fe 0.0000 0.2500 0.3750
O1 O 0.0218 0.0665 0.6544
```

=====

Entry 5:
Here is a geometry-optimized ZrFeO2 structure from Alexandria. Energies are from PBE+U.

Theoretical density   5221 kg/m3
Spin magnetization   7.40 μB/cell
Excess energy over the best structure of this formula in the dataset   0.00 eV/f.u.

Structure (CIF):
```
data_ZrFeO2
_cell_length_a 3.4487
_cell_length_b 3.4487
_cell_length_c 16.5887
_cell_angle_alpha 90.00
_cell_angle_beta 90.00
_cell_angle_gamma 120.00
_space_group_name_H-M_alt 'R -3 m'
_space_group_IT_number 166
_space_group_name_Hall '-R 3 2"'
loop_
_atom_site_label
_atom_site_type_symbol
_atom_site_fract_x
_atom_site_fract_y
_atom_site_fract_z
Zr1 Zr 0.0000 0.0000 0.0000
Fe1 Fe 0.0000 0.0000 0.5000
O1 O 0.0000 0.0000 0.3837
```

=====

Entry 6:
Here is a geometry-optimized Zr2FeO structure from Alexandria. Energies are from PBE+U.

Theoretical density   5573 kg/m3
Spin magnetization   13.80 μB/cell
VASP energy   -7.633 eV per atom

Structure (CIF):
```
data_Zr2FeO
_cell_length_a 6.5262
_cell_length_b 6.5262
_cell_length_c 7.1155
_cell_angle_alpha 90.00
_cell_angle_beta 90.00
_cell_angle_gamma 90.00
_space_group_name_H-M_alt 'I -4 2 d'
_space_group_IT_number 122
_space_group_name_Hall 'I -4 2bw'
loop_
_atom_site_label
_atom_site_type_symbol
_atom_site_fract_x
_atom_site_fract_y
_atom_site_fract_z
Zr1 Zr 0.1514 0.2500 0.1250
Fe1 Fe 0.0000 0.0000 0.5000
O1 O 0.0000 0.0000 0.0000
```